A plane-wave DFT calculation with SCAN was carried out for Sc8Tl at its PBEsol-relaxed geometry.

Its formation energy is -0.087 eV/atom.

Cell and atoms, written as POSCAR:
```
Sc8Tl
1.0
-4.832 4.832 2.220
4.832 -4.832 2.220
4.832 4.832 -2.220
Sc Tl
8 1
Cartesian
3.242 0.000 0.000 Sc
6.422 0.000 0.000 Sc
0.000 3.242 0.000 Sc
3.253 3.253 0.000 Sc
1.579 -1.579 2.220 Sc
-1.579 1.579 2.220 Sc
1.579 1.579 2.220 Sc
0.000 6.422 0.000 Sc
0.000 0.000 0.000 Tl
```

---

A plane-wave DFT calculation with SCAN was carried out for Sc2Tl at its PBEsol-relaxed geometry.

Its formation energy is -0.427 eV/atom.

Cell and atoms, written as POSCAR:
```
Sc2Tl
1.0
8.211 0.000 0.000
-4.106 7.111 0.000
0.000 0.000 3.529
Sc Tl
6 3
Cartesian
-1.171 2.029 0.000 Sc
-2.540 4.399 1.765 Sc
2.343 0.000 0.000 Sc
1.566 2.712 1.765 Sc
5.079 0.000 1.765 Sc
2.934 5.082 0.000 Sc
0.000 0.000 1.765 Tl
0.000 4.741 0.000 Tl
4.106 2.370 0.000 Tl
```

---

A plane-wave DFT calculation with SCAN was carried out for ScTl5 at its PBEsol-relaxed geometry.

The value obtained for the energy above the most stable polymorph in this dataset is 0 meV per atom. Its formation energy is -0.083 eV/atom.

Cell and atoms, written as POSCAR:
```
ScTl5
1.0
3.476 0.000 0.000
0.000 3.476 0.000
0.000 0.000 12.971
Sc Tl
1 5
Cartesian
0.000 0.000 0.000 Sc
0.000 0.000 4.115 Tl
0.000 0.000 8.856 Tl
1.738 1.738 1.884 Tl
1.738 1.738 6.486 Tl
1.738 1.738 11.088 Tl
```

---

A plane-wave DFT calculation with SCAN was carried out for ScTlW2 at its PBEsol-relaxed geometry.

Its formation energy is 0.432 eV/atom.

Cell and atoms, written as POSCAR:
```
ScTlW2
1.0
3.945 0.000 0.000
0.000 3.945 0.000
0.000 0.000 4.556
Sc Tl W
1 1 2
Cartesian
0.000 0.000 0.000 Sc
1.973 1.973 0.000 Tl
0.000 1.973 2.278 W
1.973 0.000 2.278 W
```

---

A plane-wave DFT calculation with SCAN was carried out for ScTlW2 at its PBEsol-relaxed geometry.

Its formation energy is 0.540 eV/atom.

Cell and atoms, written as POSCAR:
```
ScTlW2
1.0
2.827 0.000 0.000
0.000 2.827 0.000
0.000 0.000 9.130
Sc Tl W
1 1 2
Cartesian
0.000 0.000 0.000 Sc
1.414 1.414 2.484 Tl
0.000 0.000 4.787 W
1.414 1.414 6.958 W
```

---

A plane-wave DFT calculation with SCAN was carried out for ScTl2W at its PBEsol-relaxed geometry.

Its formation energy is 0.394 eV/atom.

Cell and atoms, written as POSCAR:
```
ScTl2W
1.0
-2.149 2.149 4.247
2.149 -2.149 4.247
2.149 2.149 -4.247
Sc Tl W
1 2 1
Cartesian
0.000 0.000 0.000 Sc
2.149 0.000 2.123 Tl
0.000 2.149 2.123 Tl
0.000 0.000 4.247 W
```

---

A plane-wave DFT calculation with SCAN was carried out for Sc2TlW at its PBEsol-relaxed geometry.

Its formation energy is 0.029 eV/atom.

Cell and atoms, written as POSCAR:
```
Sc2TlW
1.0
1.878 -2.330 0.000
1.878 2.330 0.000
0.000 0.000 9.160
Sc Tl W
2 1 1
Cartesian
0.000 0.000 2.077 Sc
0.000 0.000 7.083 Sc
1.878 0.000 4.580 Tl
1.878 0.000 0.000 W
```

---

A plane-wave DFT calculation with SCAN was carried out for YSc3Tl at its PBEsol-relaxed geometry.

Its formation energy is 0.255 eV/atom.

Cell and atoms, written as POSCAR:
```
YSc3Tl
1.0
5.338 0.000 0.000
0.000 5.338 0.000
0.000 0.000 5.338
Y Sc Tl
1 3 1
Cartesian
0.000 0.000 0.000 Y
0.000 2.669 2.669 Sc
2.669 0.000 2.669 Sc
2.669 2.669 0.000 Sc
2.669 2.669 2.669 Tl
```

---

A plane-wave DFT calculation with SCAN was carried out for Y2ScTl at its PBEsol-relaxed geometry.

The value obtained for the energy above the most stable polymorph in this dataset is 69 meV per atom. Its formation energy is -0.272 eV/atom.

Cell and atoms, written as POSCAR:
```
Y2ScTl
1.0
3.487 0.000 0.000
0.000 3.487 0.000
0.000 0.000 8.768
Y Sc Tl
2 1 1
Cartesian
0.000 0.000 0.000 Y
1.743 1.743 2.528 Y
0.000 0.000 4.792 Sc
1.743 1.743 6.629 Tl
```

---

A plane-wave DFT calculation with SCAN was carried out for Y2ScTl at its PBEsol-relaxed geometry.

The value obtained for the energy above the most stable polymorph in this dataset is 195 meV per atom. Its formation energy is -0.147 eV/atom.

Cell and atoms, written as POSCAR:
```
Y2ScTl
1.0
1.727 0.997 10.584
-1.727 0.997 10.584
0.000 -1.994 10.584
Y Sc Tl
2 1 1
Cartesian
0.000 0.000 7.904 Y
0.000 0.000 23.848 Y
0.000 0.000 0.000 Sc
0.000 0.000 15.876 Tl
```

---

A plane-wave DFT calculation with SCAN was carried out for Y2ScTl at its PBEsol-relaxed geometry.

The value obtained for the energy above the most stable polymorph in this dataset is 46 meV per atom. Its formation energy is -0.296 eV/atom.

Cell and atoms, written as POSCAR:
```
Y2ScTl
1.0
4.973 0.000 0.000
0.000 1.756 6.120
0.000 -1.756 6.120
Y Sc Tl
2 1 1
Cartesian
0.000 0.000 0.000 Y
2.487 0.000 4.040 Y
0.000 0.000 8.949 Sc
2.487 0.000 7.304 Tl
```

---

A plane-wave DFT calculation with SCAN was carried out for YScTl at its PBEsol-relaxed geometry.

Its formation energy is -0.366 eV/atom.

Cell and atoms, written as POSCAR:
```
YScTl
1.0
-1.711 1.711 6.475
1.711 -1.711 6.475
1.711 1.711 -6.475
Y Sc Tl
1 1 1
Cartesian
0.000 0.000 0.000 Y
0.000 0.000 8.834 Sc
0.000 0.000 4.280 Tl
```